{"formula": "AcSmY", "functional": "PBE", "state": "optimized geometry", "spacegroup": "Cmcm", "e_form_mev_per_atom": 48, "polymorph_energy_ev_per_atom": 0.000, "lattice": [[2.662, -7.770, 0.000], [2.662, 7.770, 0.000], [0.000, 0.000, 5.334]], "species": ["Ac", "Ac", "Sm", "Sm", "Y", "Y"], "fractional_positions": [[0.250, 0.750, 0.750], [0.750, 0.250, 0.250], [0.079, 0.921, 0.250], [0.921, 0.079, 0.750], [0.422, 0.578, 0.250], [0.578, 0.422, 0.750]]}